# TmPbWO6, relaxed, DFT GGA+U
data_TmPbWO6
_cell_length_a 5.5659
_cell_length_b 5.5659
_cell_length_c 4.8859
_cell_angle_alpha 90.00
_cell_angle_beta 90.00
_cell_angle_gamma 120.00
_symmetry_space_group_name_H-M 'P 3 1 2'
_symmetry_Int_Tables_number 149
loop_
_symmetry_equiv_pos_as_xyz
'x,y,z'
'-y,x-y,z'
'-x+y,-x,z'
'-y,-x,-z'
'-x+y,y,-z'
'x,x-y,-z'
loop_
_atom_site_label
_atom_site_fract_x
_atom_site_fract_y
_atom_site_fract_z
Tm1 0.0000 0.0000 0.0000
Pb1 0.6667 0.3333 0.5000
W1 0.3333 0.6667 0.0000
O1 0.0460 0.3671 0.2212
# Uncorrected energy in Ha/atom: -0.263
# Total magnetic moment in μB per atom: 0.00